Run a
Zn3GaCo: relaxed, GGA-PBE.

- Density: 5.3 g/cm3
- Space group: No. 221

abc: 4.6609 4.6609 4.6609
angles: 90.00 90.00 90.00
Element x y z (fractional)
Co: 0.5000 0.5000 0.5000
Zn: 0.5000 0.0000 0.0000
Zn: 0.0000 0.0000 0.5000
Ga: 0.0000 0.0000 0.0000
Zn: 0.0000 0.5000 0.0000

---

Run b
Zn3GaCo: relaxed, GGA-PBE.

- Density: 5.6 g/cm3
- Space group: No. 221

abc: 4.5878 4.5878 4.5878
angles: 90.00 90.00 90.00
Element x y z (fractional)
Zn: 0.0000 0.5000 0.0000
Co: 0.0000 0.0000 0.0000
Zn: 0.0000 0.0000 0.5000
Ga: 0.5000 0.5000 0.5000
Zn: 0.5000 0.0000 0.0000

---

Top of the stability list: run b, leading by 560 meV per atom.

---

Run a
ZnGa3Co: relaxed, GGA-PBE.

- Density: 5.2 g/cm3
- Space group: No. 221

abc: 4.7350 4.7350 4.7350
angles: 90.00 90.00 90.00
Element x y z (fractional)
Ga: 0.0000 0.5000 0.0000
Co: 0.5000 0.5000 0.5000
Ga: 0.0000 0.0000 0.5000
Zn: 0.0000 0.0000 0.0000
Ga: 0.5000 0.0000 0.0000

---

Run b
ZnGa3Co: relaxed, GGA-PBE.

- Density: 5.8 g/cm3
- Space group: No. 221

abc: 4.5831 4.5831 4.5831
angles: 90.00 90.00 90.00
Element x y z (fractional)
Ga: 0.0000 0.0000 0.5000
Ga: 0.0000 0.5000 0.0000
Ga: 0.5000 0.0000 0.0000
Zn: 0.5000 0.5000 0.5000
Co: 0.0000 0.0000 0.0000

---

Top of the stability list: run b, leading by 842 meV per atom.

---

Run a
ZrGa2Co2: relaxed, GGA-PBE.

- Density: 8.2 g/cm3
- Space group: No. 127

abc: 7.2163 7.2163 2.7253
angles: 90.00 90.00 90.00
Element x y z (fractional)
Ga: 0.1259 0.3741 0.0000
Ga: 0.8741 0.6259 0.0000
Co: 0.3280 0.1720 0.5000
Ga: 0.6259 0.1259 0.0000
Co: 0.8280 0.3280 0.5000
Co: 0.1720 0.6720 0.5000
Co: 0.6720 0.8280 0.5000
Zr: 0.0000 0.0000 0.0000
Ga: 0.3741 0.8741 0.0000
Zr: 0.5000 0.5000 0.0000

---

Run b
ZrGa2Co2: relaxed, GGA-PBE.

- Density: 7.7 g/cm3
- Space group: No. 139

abc: 3.9019 3.9019 5.6408
angles: 69.77 69.77 90.00
Element x y z (fractional)
Ga: 0.3770 0.3770 0.2459
Zr: 0.0000 0.0000 0.0000
Ga: 0.6230 0.6230 0.7541
Co: 0.2500 0.7500 0.5000
Co: 0.7500 0.2500 0.5000

---

Run c
ZrGa2Co2: relaxed, GGA-PBE.

- Density: 7.6 g/cm3
- Space group: No. 139

abc: 3.9054 3.9054 10.3201
angles: 100.91 100.91 90.00
Element x y z (fractional)
Zr: 0.3592 0.3592 0.7183
Co: 0.7500 0.2500 0.5000
Ga: 0.8172 0.8172 0.6343
Co: 0.0666 0.0666 0.1331
Zr: 0.6408 0.6408 0.2817
Ga: 0.5000 0.0000 0.0000
Co: 0.2500 0.7500 0.5000
Co: 0.9334 0.9334 0.8669
Ga: 0.0000 0.5000 0.0000
Ga: 0.1828 0.1828 0.3657

---

Run d
ZrGa2Co2: relaxed, GGA-PBE.

- Density: 7.7 g/cm3
- Space group: No. 139

abc: 3.9601 3.9601 5.5575
angles: 69.13 69.13 90.00
Element x y z (fractional)
Co: 0.3897 0.3897 0.2207
Co: 0.6103 0.6103 0.7793
Ga: 0.7500 0.2500 0.5000
Ga: 0.2500 0.7500 0.5000
Zr: 0.0000 0.0000 0.0000

---

Top of the stability list: run c, leading by 16 meV per atom.

---

Run a
Gd2CoH: relaxed, GGA-PBE.

- Density: 8.7 g/cm3
- Space group: No. 123

abc: 3.2018 3.2018 6.9348
angles: 90.00 90.00 90.00
Element x y z (fractional)
Gd: 0.0000 0.0000 0.7503
H: 0.5000 0.5000 0.5000
Co: 0.5000 0.5000 0.0000
Gd: 0.0000 0.0000 0.2497

---

Run b
Gd2CoH: relaxed, GGA-PBE.

- Density: 8.3 g/cm3
- Space group: No. 166

abc: 3.7945 3.7945 6.4137
angles: 72.79 72.79 60.00
Element x y z (fractional)
Gd: 0.2468 0.2468 0.2595
Co: 0.0000 0.0000 0.0000
H: 0.5000 0.5000 0.5000
Gd: 0.7532 0.7532 0.7405

---

Top of the stability list: run b, leading by 160 meV per atom.

---

Run a
GdHfCo2: relaxed, GGA-PBE.

- Density: 10.8 g/cm3
- Space group: No. 225

abc: 4.6154 4.6154 4.6154
angles: 60.00 60.00 60.00
Element x y z (fractional)
Co: 0.2500 0.2500 0.2500
Hf: 0.0000 0.0000 0.0000
Co: 0.7500 0.7500 0.7500
Gd: 0.5000 0.5000 0.5000

---

Run b
GdHfCo2: relaxed, GGA-PBE.

- Density: 10.9 g/cm3
- Space group: No. 123

abc: 3.2122 3.2122 6.6746
angles: 90.00 90.00 90.00
Element x y z (fractional)
Co: 0.0000 0.0000 0.2158
Hf: 0.5000 0.5000 0.0000
Co: 0.0000 0.0000 0.7842
Gd: 0.5000 0.5000 0.5000

---

Top of the stability list: run b, leading by 89 meV per atom.

---

Run a
Gd2CoHg: relaxed, GGA-PBE.

- Density: 7.9 g/cm3
- Space group: No. 166

abc: 3.8411 3.8411 9.7116
angles: 78.59 78.59 60.00
Element x y z (fractional)
Gd: 0.1151 0.1151 0.6548
Co: 0.5000 0.5000 0.5000
Gd: 0.8849 0.8849 0.3452
Hg: 0.0000 0.0000 0.0000

---

Run b
Gd2CoHg: relaxed, GGA-PBE.

- Density: 10.2 g/cm3
- Space group: No. 225

abc: 5.0884 5.0884 5.0884
angles: 60.00 60.00 60.00
Element x y z (fractional)
Gd: 0.7500 0.7500 0.7500
Hg: 0.0000 0.0000 0.0000
Co: 0.5000 0.5000 0.5000
Gd: 0.2500 0.2500 0.2500

---

Run c
Gd2CoHg: relaxed, GGA-PBE.

- Density: 10.4 g/cm3
- Space group: No. 123

abc: 3.4699 3.4699 7.6225
angles: 90.00 90.00 90.00
Element x y z (fractional)
Gd: 0.0000 0.0000 0.7833
Hg: 0.5000 0.5000 0.5000
Co: 0.5000 0.5000 0.0000
Gd: 0.0000 0.0000 0.2167

---

Top of the stability list: run c, leading by 95 meV per atom.

---

Run a
GdHo2Co: relaxed, GGA-PBE.

- Density: 8.3 g/cm3
- Space group: No. 166

abc: 3.6967 3.6967 9.4606
angles: 78.73 78.73 60.00
Element x y z (fractional)
Ho: 0.2769 0.2769 0.1692
Ho: 0.7231 0.7231 0.8308
Co: 0.0000 0.0000 0.0000
Gd: 0.5000 0.5000 0.5000

---

Run b
GdHo2Co: relaxed, GGA-PBE.

- Density: 8.9 g/cm3
- Space group: No. 123

abc: 3.3883 3.3883 8.8493
angles: 90.00 90.00 90.00
Element x y z (fractional)
Ho: 0.0000 0.0000 0.1804
Gd: 0.5000 0.5000 0.5000
Ho: 0.0000 0.0000 0.8196
Co: 0.5000 0.5000 0.0000

---

Top of the stability list: run b, leading by 67 meV per atom.

---

Run a
Gd2InCo: relaxed, GGA-PBE.

- Density: 8.5 g/cm3
- Space group: No. 225

abc: 5.1326 5.1326 5.1326
angles: 60.00 60.00 60.00
Element x y z (fractional)
Gd: 0.2500 0.2500 0.2500
Co: 0.0000 0.0000 0.0000
Gd: 0.7500 0.7500 0.7500
In: 0.5000 0.5000 0.5000

---

Run b
Gd2InCo: relaxed, GGA-PBE.

- Density: 8.7 g/cm3
- Space group: No. 123

abc: 3.3984 3.3984 8.0855
angles: 90.00 90.00 90.00
Element x y z (fractional)
Gd: 0.0000 0.0000 0.2074
Co: 0.5000 0.5000 0.0000
In: 0.5000 0.5000 0.5000
Gd: 0.0000 0.0000 0.7926

---

Top of the stability list: run b, leading by 147 meV per atom.

---

Run a
LaGdCo: relaxed, GGA-PBE.

- Density: 7.5 g/cm3
- Space group: No. 107

abc: 3.4529 3.4529 7.0284
angles: 104.22 104.22 90.00
Element x y z (fractional)
Gd: 0.0445 0.0445 0.0890
La: 0.2936 0.2936 0.5872
Co: 0.6619 0.6619 0.3238

---

Run b
LaGdCo: relaxed, GGA-PBE.

- Density: 6.7 g/cm3
- Space group: No. 156

abc: 3.9749 3.9749 6.3955
angles: 90.00 90.00 120.00
Element x y z (fractional)
La: 0.0000 0.0000 0.1039
Gd: 0.3333 0.6667 0.5625
Co: 0.6667 0.3333 0.3335

---

Run c
LaGdCo: relaxed, GGA-PBE.

- Density: 7.5 g/cm3
- Space group: No. 216

abc: 4.8110 4.8110 4.8110
angles: 60.00 60.00 60.00
Element x y z (fractional)
Gd: 0.0000 0.0000 0.0000
Co: 0.2500 0.2500 0.2500
La: 0.5000 0.5000 0.5000

---

Top of the stability list: run b, leading by 43 meV per atom.

---

Run a
GdLuCo: relaxed, GGA-PBE.

- Density: 8.3 g/cm3
- Space group: No. 156

abc: 6.1151 3.8414 3.8414
angles: 120.00 90.00 90.00
Element x y z (fractional)
Lu: 0.1013 0.0000 0.0000
Co: 0.3301 0.3333 0.6667
Gd: 0.5685 0.6667 0.3333

---

Run b
GdLuCo: relaxed, GGA-PBE.

- Density: 9.1 g/cm3
- Space group: No. 216

abc: 4.6555 4.6555 4.6555
angles: 60.00 60.00 60.00
Element x y z (fractional)
Gd: 0.0000 0.0000 0.0000
Co: 0.2500 0.2500 0.2500
Lu: 0.5000 0.5000 0.5000

---

Run c
GdLuCo: relaxed, GGA-PBE.

- Density: 9.3 g/cm3
- Space group: No. 107

abc: 3.3356 3.3356 6.6911
angles: 104.43 104.43 90.00
Element x y z (fractional)
Lu: 0.2935 0.2935 0.5870
Co: 0.6706 0.6706 0.3411
Gd: 0.0360 0.0360 0.0719

---

Top of the stability list: run c, leading by 62 meV per atom.

---

Run a
GdLu2Co: relaxed, GGA-PBE.

- Density: 9.7 g/cm3
- Space group: No. 123

abc: 3.3338 3.3338 8.7320
angles: 90.00 90.00 90.00
Element x y z (fractional)
Lu: 0.0000 0.0000 0.1798
Co: 0.5000 0.5000 0.0000
Lu: 0.0000 0.0000 0.8202
Gd: 0.5000 0.5000 0.5000

---

Run b
GdLu2Co: relaxed, GGA-PBE.

- Density: 8.9 g/cm3
- Space group: No. 166

abc: 3.6377 3.6377 9.4074
angles: 78.85 78.85 60.00
Element x y z (fractional)
Co: 0.0000 0.0000 0.0000
Lu: 0.7227 0.7227 0.8319
Gd: 0.5000 0.5000 0.5000
Lu: 0.2773 0.2773 0.1681

---

Top of the stability list: run a, leading by 105 meV per atom.

---

Run a
Gd2MgCo: relaxed, GGA-PBE.

- Density: 5.5 g/cm3
- Space group: No. 166

abc: 3.7351 3.7351 10.1765
angles: 79.43 79.43 60.00
Element x y z (fractional)
Mg: 0.0000 0.0000 0.0000
Gd: 0.8844 0.8844 0.3468
Gd: 0.1156 0.1156 0.6532
Co: 0.5000 0.5000 0.5000

---

Run b
Gd2MgCo: relaxed, GGA-PBE.

- Density: 7.1 g/cm3
- Space group: No. 225

abc: 5.0745 5.0745 5.0745
angles: 60.00 60.00 60.00
Element x y z (fractional)
Gd: 0.2500 0.2500 0.2500
Gd: 0.7500 0.7500 0.7500
Co: 0.0000 0.0000 0.0000
Mg: 0.5000 0.5000 0.5000

---

Run c
Gd2MgCo: relaxed, GGA-PBE.

- Density: 6.9 g/cm3
- Space group: No. 123

abc: 3.4228 3.4228 8.1583
angles: 90.00 90.00 90.00
Element x y z (fractional)
Mg: 0.5000 0.5000 0.5000
Gd: 0.0000 0.0000 0.7980
Gd: 0.0000 0.0000 0.2020
Co: 0.5000 0.5000 0.0000

---

Top of the stability list: run c, leading by 117 meV per atom.